[1]
Density functional theory data (PBE-GGA) for a relaxed Nb2ZnOs crystal.

Geometry as POSCAR:
```
Nb2ZnOs
1.0
-1.4799 -2.6072 -0.1336
0.6934 -0.2445 -2.9094
6.1439 -3.5780 1.7650
Nb Os Zn
2 1 1
Direct
0.0000 0.0000 0.7388
0.0000 0.0000 0.2612
0.5000 0.5000 0.5000
0.5000 0.5000 0.0000
```

Computed properties:
Final energy, eV per atom: -8.243
Mass density, g/cm3: 11.112

[2]
Density functional theory data (PBE-GGA) for a relaxed EuPuGaPd crystal.

Geometry as POSCAR:
```
EuPuGaPd
1.0
-3.8349 -0.9876 -3.2468
0.2454 -4.0779 -3.0877
-3.0727 -4.0152 0.8123
Eu Ga Pd Pu
1 1 1 1
Direct
0.0000 0.0000 0.0000
0.2500 0.2500 0.2500
0.7500 0.7500 0.7500
0.5000 0.5000 0.5000
```

Computed properties:
Final energy, eV per atom: -8.560
Mass density, g/cm3: 10.005

[3]
Density functional theory data (PBE-GGA) for a relaxed Ca3MgPb12 crystal.

Geometry as POSCAR:
```
Ca3MgPb12
1.0
-1.1670 0.1279 4.7991
2.8155 -3.9821 0.7908
15.4908 11.6387 3.4568
Ca Mg Pb
3 1 12
Direct
0.0000 0.0000 0.2507
0.0000 0.0000 0.5000
0.0000 0.0000 0.7493
0.0000 0.0000 0.0000
0.5000 0.5000 0.0000
0.5000 0.5000 0.2465
0.5000 0.5000 0.5000
0.5000 0.5000 0.7535
0.5000 0.0000 0.1203
0.5000 0.0000 0.3741
0.5000 0.0000 0.6259
0.5000 0.0000 0.8797
0.0000 0.5000 0.1203
0.0000 0.5000 0.3741
0.0000 0.5000 0.6259
0.0000 0.5000 0.8797
```

Computed properties:
Final energy, eV per atom: -3.486
Mass density, g/cm3: 9.094

[4]
Density functional theory data (PBE-GGA) for a relaxed AgSnO2F crystal.

Geometry as POSCAR:
```
AgSnO2F
1.0
4.1530 0.0000 0.0000
0.0000 4.1530 0.0000
0.0000 0.0000 4.2365
O Sn Ag F
2 1 1 1
Direct
0.0000 0.5000 0.0000
0.5000 0.0000 0.0000
0.5000 0.5000 0.5000
0.0000 0.0000 0.0000
0.0000 0.0000 0.5000
```

Computed properties:
Raw formation energy, eV per atom: -0.48
Final energy, eV per atom: -4.212
Mass density, g/cm3: 6.308

[5]
Density functional theory data (PBE-GGA) for a relaxed HfIn2SiO crystal.

Geometry as POSCAR:
```
HfIn2SiO
1.0
4.9463 0.0000 0.0000
0.0000 4.9463 0.0000
0.0000 0.0000 4.1464
Si Hf O In
1 1 1 2
Direct
0.5000 0.5000 0.5000
0.0000 0.0000 0.5000
0.0000 0.0000 0.0000
0.0000 0.5000 0.0000
0.5000 0.0000 0.0000
```

Computed properties:
Raw formation energy, eV per atom: -0.30
Final energy, eV per atom: -5.460
Mass density, g/cm3: 7.402

[6]
Density functional theory data (PBE-GGA) for a relaxed Hg4ICl crystal.

Geometry as POSCAR:
```
Hg4ICl
1.0
7.7946 0.0781 -2.7990
-4.4815 6.5113 -2.9142
-0.3603 -1.0408 8.3523
Hg I Cl
8 2 2
Direct
0.2372 0.0644 0.7617
0.7673 0.0633 0.7861
0.2628 0.7383 0.4356
0.7327 0.7139 0.4367
0.2673 0.2861 0.5633
0.7372 0.2617 0.5644
0.2327 0.9367 0.2139
0.7628 0.9356 0.2383
0.2500 0.6648 0.8352
0.7500 0.3352 0.1648
0.7500 0.6544 0.8456
0.2500 0.3456 0.1544
```

Computed properties:
Raw formation energy, eV per atom: -0.17
Final energy, eV per atom: -0.935
Mass density, g/cm3: 8.351

[7]
Density functional theory data (PBE-GGA) for a relaxed PuTi2Pd crystal.

Geometry as POSCAR:
```
PuTi2Pd
1.0
-1.6455 -4.3922 0.1321
-0.8860 -2.2946 -3.9958
2.7450 -3.5742 -1.3111
Pu Ti Pd
1 2 1
Direct
0.5000 0.5000 0.4999
0.0000 0.0000 0.0001
0.2498 0.2498 0.2505
0.7501 0.7501 0.7496
```

Computed properties:
Final energy, eV per atom: -8.894
Mass density, g/cm3: 10.138

[8]
Density functional theory data (PBE-GGA) for a relaxed TaInPt4 crystal.

Geometry as POSCAR:
```
TaInPt4
1.0
-3.0134 -4.2934 -0.6468
-5.2019 0.5155 -0.7784
-2.0828 -1.0775 -4.7363
Ta In Pt
1 1 4
Direct
0.7500 0.7500 0.7500
0.0000 0.0000 0.0000
0.8736 0.3755 0.3755
0.3755 0.3755 0.8736
0.3755 0.8736 0.3755
0.3755 0.3755 0.3755
```

Computed properties:
Final energy, eV per atom: -6.637
Mass density, g/cm3: 17.119